Entry from the Alexandria database: a geometry-optimized ScPt2Rh structure (PBE).

a b c (Å): 2.8854 2.8854 7.7688
angles (deg): 90.00 90.00 90.00
Space group P4mm (No. 99)
One atom of each set of equivalent atoms:
1 Sc 0.0000 0.0000 0.0000 (multiplicity 1)
2 Pt 0.0000 0.0000 0.5134 (multiplicity 1)
3 Pt 0.5000 0.5000 0.2532 (multiplicity 1)
4 Rh 0.5000 0.5000 0.7620 (multiplicity 1)

Summary:
**Energy**: -6.947 eV/atom
**DOS(E_F)**: 4.3 states/eV/cell
**Formation energy**: -0.51 eV per atom